(1)
# LiCuPO4

An optimized crystal structure of LiCuPO4 (GGA-PBE, the Alexandria database).

Cell: 5.442 6.344 9.583 Å, 90.17 94.76 92.35°
Sites, in units of the cell vectors:
Li: 0.000 0.000 0.000
Li: 0.036 0.571 0.083
Li: 0.450 0.955 0.177
Li: 0.603 0.548 0.695
Cu: 0.026 0.488 0.493
Cu: 0.221 0.941 0.624
Cu: 0.474 0.207 0.433
Cu: 0.635 0.314 0.934
P: 0.088 0.293 0.793
P: 0.487 0.802 0.923
P: 0.590 0.712 0.422
P: 0.987 0.204 0.300
O: 0.009 0.321 0.945
O: 0.022 0.058 0.755
O: 0.030 0.445 0.278
O: 0.109 0.188 0.461
O: 0.115 0.067 0.202
O: 0.248 0.780 0.997
O: 0.370 0.339 0.789
O: 0.438 0.899 0.478
O: 0.447 0.803 0.760
O: 0.482 0.506 0.493
O: 0.560 0.702 0.265
O: 0.627 0.011 0.982
O: 0.671 0.622 0.960
O: 0.708 0.147 0.299
O: 0.861 0.748 0.490
O: 0.948 0.447 0.692

Formation energy (no corrections) = -1.745 eV per atom
Final energy = -6.209 eV per atom
Energy relative to the lowest polymorph listed for this composition = 62 meV/atom
Total magnetic moment = 1.0 μB per formula unit

(2)
# Li7Mg12Tl

An optimized crystal structure of Li7Mg12Tl (GGA-PBE, the Alexandria database).

Cell: 7.706 7.706 7.706 Å, 89.44 89.44 89.44°
Sites, in units of the cell vectors:
Li: 0.000 0.000 0.000
Li: 0.124 0.455 0.354
Li: 0.354 0.124 0.455
Li: 0.455 0.354 0.124
Li: 0.545 0.646 0.876
Li: 0.646 0.876 0.545
Li: 0.876 0.545 0.646
Mg: 0.005 0.897 0.339
Mg: 0.103 0.661 0.995
Mg: 0.227 0.759 0.624
Mg: 0.241 0.376 0.773
Mg: 0.339 0.005 0.897
Mg: 0.376 0.773 0.241
Mg: 0.624 0.227 0.759
Mg: 0.661 0.995 0.103
Mg: 0.759 0.624 0.227
Mg: 0.773 0.241 0.376
Mg: 0.897 0.339 0.005
Mg: 0.995 0.103 0.661
Tl: 0.500 0.500 0.500

Final energy = -1.729 eV per atom
Total magnetic moment = 0.0 μB per formula unit
Formation energy = 1.6 kJ/mol of atoms

(3)
# Pd2SeS

An optimized crystal structure of Pd2SeS (GGA-PBE, the Alexandria database).

Cell: 3.673 3.673 17.758 Å, 90.00 90.00 120.00°
Sites, in units of the cell vectors:
Pd: 0.000 0.000 0.244
Pd: 0.000 0.000 0.756
Pd: 0.333 0.667 0.423
Pd: 0.333 0.667 0.911
Pd: 0.667 0.333 0.089
Pd: 0.667 0.333 0.577
Se: 0.000 0.000 0.000
Se: 0.333 0.667 0.667
Se: 0.667 0.333 0.333
S: 0.000 0.000 0.500
S: 0.333 0.667 0.167
S: 0.667 0.333 0.833

Formation energy (no corrections) = -0.169 eV per atom
Final energy = -4.668 eV per atom
Energy relative to the lowest polymorph listed for this composition = 0 meV/atom
Total magnetic moment = 0.0 μB per formula unit

> Among the records above, which one has the lowest final energy?

LiCuPO4